No. 1
The following is a DFT calculation (PBE-GGA) of MnBeAg2 after structural relaxation.

Results
ΔE_f = 1.32 eV per formula unit
E = -17.3 eV per cell

Cell lengths 3.8901, 2.8991, 5.6098 Å; angles 72.65, 90.00, 90.00 degrees
Each line ends with the local moment (μB).
Fractional positions:
Be (0.5000, 0.2500, 0.2500)  -0.04
Mn (0.5000, 0.7500, 0.7500)  3.80
Ag (0.0000, 0.0917, 0.0171)  0.01
Ag (0.0000, 0.4083, 0.4829)  0.01

No. 2
The following is a DFT calculation (PBE-GGA) of Cs3KTl2Cl6 after structural relaxation.

Results
E = -39.2 eV per cell
E_form (uncorrected) = -1.64 eV per atom

Cell lengths 8.2888, 8.2888, 8.2738 Å; angles 99.60, 99.60, 120.00 degrees
Fractional positions:
Cs (0.1687, 0.8313, 0.5000)
Cs (0.8313, 0.1687, 0.5000)
Cs (0.5000, 0.5000, 0.5000)
K (0.0000, 0.0000, 0.0000)
Tl (0.3341, 0.6659, 0.0000)
Tl (0.6659, 0.3341, 0.0000)
Cl (0.9243, 0.5954, 0.7730)
Cl (0.7475, 0.7475, 0.2294)
Cl (0.0757, 0.4046, 0.2270)
Cl (0.5954, 0.9243, 0.7730)
Cl (0.2525, 0.2525, 0.7706)
Cl (0.4046, 0.0757, 0.2270)

No. 3
The following is a DFT calculation (PBE-GGA) of PuGeAu4 after structural relaxation.

Results
ΔE_f = -0.96 eV per formula unit
E = -33.0 eV per cell
ΔE to the lowest computed polymorph = 0.068 eV/atom

Cell lengths 5.6141, 5.6141, 5.6141 Å; angles 60.00, 60.00, 60.00 degrees
Each line ends with the local moment (μB).
Fractional positions:
Ge (0.0000, 0.0000, 0.0000)  0.00
Au (0.6250, 0.6250, 0.1249)  0.00
Au (0.6250, 0.1249, 0.6250)  0.00
Au (0.6250, 0.6250, 0.6250)  0.00
Au (0.1249, 0.6250, 0.6250)  0.00
Pu (0.2500, 0.2500, 0.2500)  5.33